The following is a PBE calculation of a relaxed Nb2Hg2Te6Pd crystal, from Alexandria via LeMat-Bulk.

Cell lengths 6.639, 11.164, 9.265 Å; angles 90.00, 109.16, 90.00 degrees
Space group C2/m (No. 12)
Unique sites:
Nb1 0.000 0.205 0.000 (multiplicity 4)
Hg1 0.000 0.348 0.500 (multiplicity 4)
Te1 0.215 0.159 0.783 (multiplicity 8)
Te2 0.226 0.000 0.159 (multiplicity 4)
Pd1 0.000 0.500 0.000 (multiplicity 2)

**Formation energy (no corrections)**: -0.254 eV per atom
**Calculated volume**: 648.6 Å³/cell

The following is a PBE calculation of a relaxed NbTl2HgPd crystal, from Alexandria via LeMat-Bulk.

Cell lengths 5.109, 5.109, 5.107 Å; angles 90.00, 90.00, 90.00 degrees
Space group P4/mmm (No. 123)
Unique sites:
Nb1 0.000 0.000 0.000 (multiplicity 1)
Tl1 0.000 0.500 0.500 (multiplicity 2)
Hg1 0.500 0.500 0.000 (multiplicity 1)
Pd1 0.500 0.500 0.500 (multiplicity 1)

**ΔE_f**: 4.7 eV per formula unit
**Calculated volume**: 133.3 Å³/cell

The following is a PBE calculation of a relaxed NbVHg2Pd crystal, from Alexandria via LeMat-Bulk.

Cell lengths 5.343, 5.343, 4.423 Å; angles 90.00, 90.00, 90.00 degrees
Space group P4/mmm (No. 123)
Unique sites:
Nb1 0.000 0.000 0.000 (multiplicity 1)
V1 0.000 0.000 0.500 (multiplicity 1)
Hg1 0.000 0.500 0.000 (multiplicity 2)
Pd1 0.500 0.500 0.500 (multiplicity 1)

**ΔE_f**: 6.0 eV per formula unit
**Calculated volume**: 126.2 Å³/cell

The following is a PBE calculation of a relaxed NbHgPdW2 crystal, from Alexandria via LeMat-Bulk.

Cell lengths 4.897, 4.897, 4.973 Å; angles 90.00, 90.00, 90.00 degrees
Space group P4/mmm (No. 123)
Unique sites:
Nb1 0.000 0.000 0.000 (multiplicity 1)
Hg1 0.000 0.000 0.500 (multiplicity 1)
Pd1 0.500 0.500 0.000 (multiplicity 1)
W1 0.000 0.500 0.500 (multiplicity 2)

**ΔE_f**: 13.8 eV per formula unit
**Calculated volume**: 119.3 Å³/cell

The following is a PBE calculation of a relaxed Pm2NbHg crystal, from Alexandria via LeMat-Bulk.

Cell lengths 3.2727, 3.2727, 34.3147 Å; angles 90.00, 90.00, 120.00 degrees
Space group R-3m (No. 166, hexagonal axes)
Unique sites:
Pm1 0.0000 0.0000 0.0858 (multiplicity 6)
Nb1 0.0000 0.0000 0.0000 (multiplicity 3)
Hg1 0.0000 0.0000 0.5000 (multiplicity 3)

**ΔE_f**: 1.8 eV per formula unit
**Calculated volume**: 318.3 Å³/cell

The following is a PBE calculation of a relaxed Pr2NbHg crystal, from Alexandria via LeMat-Bulk.

Cell lengths 3.3083, 3.3083, 34.6967 Å; angles 90.00, 90.00, 120.00 degrees
Space group R-3m (No. 166, hexagonal axes)
Unique sites:
Pr1 0.0000 0.0000 0.0853 (multiplicity 6)
Nb1 0.0000 0.0000 0.0000 (multiplicity 3)
Hg1 0.0000 0.0000 0.5000 (multiplicity 3)

**ΔE_f**: 1.9 eV per formula unit
**Calculated volume**: 328.9 Å³/cell